This record from Alexandria via LeMat-Bulk describes a geometry-optimized MnCu2Au6 structure. The functional is PBE.

a b c (Å): 4.054 4.892 8.742
angles (deg): 71.84 76.59 65.52
Each line ends with the local moment (μB).
Fractional coordinates of all 9 atoms:
Au  0.998  0.184  0.819  0.01
Au  0.002  0.816  0.181  0.01
Au  0.663  0.073  0.601  0.04
Mn  0.000  0.500  0.500  3.96
Cu  0.670  0.384  0.276  0.02
Au  0.337  0.927  0.399  0.04
Cu  0.330  0.616  0.724  0.02
Au  0.667  0.724  0.942  -0.01
Au  0.333  0.276  0.058  -0.01

* space-group type: C2/m, No. 12
* distance to the lowest polymorph of the same formula: 0.000 eV/atom
* formation energy from the elements: -0.2 eV/f.u.



This record from Alexandria via LeMat-Bulk describes a geometry-optimized Mn2CuAu structure. The functional is PBE.

a b c (Å): 4.795 4.795 4.795
angles (deg): 132.22 132.17 69.92
Each line ends with the local moment (μB).
Fractional coordinates of all 4 atoms:
Au  0.500  0.500  0.000  0.09
Mn  0.000  0.000  0.000  3.67
Cu  0.250  0.750  0.500  0.14
Mn  0.750  0.250  0.500  3.70

* space-group type: I-4m2, No. 119
* formation energy from the elements: 0.5 eV/f.u.



This record from Alexandria via LeMat-Bulk describes a geometry-optimized MnCu14Au structure. The functional is PBE.

a b c (Å): 5.241 5.241 8.433
angles (deg): 90.00 90.00 119.69
Each line ends with the local moment (μB).
Fractional coordinates of all 16 atoms:
Au  0.544  0.456  0.500  0.06
Cu  0.371  0.629  0.756  0.00
Cu  0.880  0.628  0.759  0.04
Mn  0.044  0.956  0.500  3.74
Cu  0.874  0.126  0.246  0.04
Cu  0.372  0.120  0.759  0.04
Cu  0.208  0.792  0.000  0.01
Cu  0.874  0.126  0.754  0.04
Cu  0.206  0.293  0.000  0.01
Cu  0.544  0.957  0.500  0.08
Cu  0.372  0.120  0.241  0.04
Cu  0.708  0.292  0.000  -0.01
Cu  0.707  0.794  0.000  0.01
Cu  0.043  0.456  0.500  0.08
Cu  0.880  0.628  0.241  0.04
Cu  0.371  0.629  0.244  0.00

* space-group type: Amm2, No. 38
* formation energy from the elements: 0.5 eV/f.u.



This record from Alexandria via LeMat-Bulk describes a geometry-optimized MnCu5Au2 structure. The functional is PBE.

a b c (Å): 4.402 4.402 6.523
angles (deg): 109.72 109.72 90.00
Each line ends with the local moment (μB).
Fractional coordinates of all 8 atoms:
Au  0.751  0.751  0.502  0.01
Cu  0.615  0.115  0.229  0.05
Mn  0.000  0.000  0.000  3.67
Cu  0.385  0.885  0.771  0.05
Au  0.249  0.249  0.498  0.01
Cu  0.885  0.385  0.771  0.05
Cu  0.500  0.500  0.000  0.01
Cu  0.115  0.615  0.229  0.05

* space-group type: I4/mmm, No. 139
* distance to the lowest polymorph of the same formula: 0.014 eV/atom
* formation energy from the elements: 0.3 eV/f.u.



This record from Alexandria via LeMat-Bulk describes a geometry-optimized MnCu3Au3 structure. The functional is PBE.

a b c (Å): 5.622 5.622 7.255
angles (deg): 90.01 90.01 93.67
Each line ends with the local moment (μB).
Fractional coordinates of all 14 atoms:
Cu  0.244  0.756  0.000  0.09
Au  0.000  0.000  0.739  0.04
Cu  0.740  0.260  0.500  0.03
Au  0.500  0.000  0.747  0.04
Au  0.000  0.000  0.261  0.04
Mn  0.284  0.284  0.000  4.04
Cu  0.756  0.244  0.000  0.09
Mn  0.716  0.716  0.000  4.04
Au  0.000  0.500  0.253  0.04
Au  0.000  0.500  0.747  0.04
Cu  0.713  0.713  0.500  -0.01
Au  0.500  0.000  0.253  0.04
Cu  0.260  0.740  0.500  0.03
Cu  0.287  0.287  0.500  -0.01

* space-group type: Cmmm, No. 65
* distance to the lowest polymorph of the same formula: 0.076 eV/atom
* formation energy from the elements: 0.7 eV/f.u.



This record from Alexandria via LeMat-Bulk describes a geometry-optimized Mn2Cu3Au6 structure. The functional is PBE.

a b c (Å): 3.895 3.895 13.184
angles (deg): 98.50 98.50 90.00
Each line ends with the local moment (μB).
Fractional coordinates of all 11 atoms:
Au  0.570  0.070  0.140  0.04
Cu  0.860  0.860  0.720  0.06
Au  0.430  0.930  0.860  0.04
Au  0.930  0.430  0.860  0.04
Mn  0.341  0.341  0.683  4.11
Mn  0.659  0.659  0.317  4.11
Au  0.237  0.237  0.473  0.02
Cu  0.000  0.000  0.000  0.02
Au  0.763  0.763  0.527  0.02
Cu  0.140  0.140  0.280  0.06
Au  0.070  0.570  0.140  0.04

* space-group type: I4/mmm, No. 139
* formation energy from the elements: 1.9 eV/f.u.



This record from Alexandria via LeMat-Bulk describes a geometry-optimized MnCuAu structure. The functional is PBE.

a b c (Å): 4.811 4.811 3.258
angles (deg): 70.21 70.21 39.58
Each line ends with the local moment (μB).
Fractional coordinates of all 3 atoms:
Mn  0.327  0.327  0.673  3.78
Cu  0.672  0.672  0.328  0.08
Au  0.001  0.001  0.999  0.06

* space-group type: I4mm, No. 107
* distance to the lowest polymorph of the same formula: 0.000 eV/atom
* formation energy from the elements: -0.1 eV/f.u.



This record from Alexandria via LeMat-Bulk describes a geometry-optimized MnCu3Au6 structure. The functional is PBE.

a b c (Å): 7.217 7.217 7.217
angles (deg): 85.30 85.30 85.30
Each line ends with the local moment (μB).
Fractional coordinates of all 20 atoms:
Au  0.346  0.001  0.134  0.01
Mn  0.000  0.000  0.000  3.75
Au  0.843  0.515  0.616  0.03
Au  0.001  0.134  0.346  0.01
Au  0.134  0.346  0.001  0.01
Mn  0.500  0.500  0.500  4.18
Cu  0.218  0.690  0.065  0.02
Cu  0.310  0.935  0.782  0.02
Au  0.654  0.999  0.866  0.01
Au  0.616  0.843  0.515  0.03
Au  0.157  0.485  0.384  0.03
Au  0.485  0.384  0.157  0.03
Cu  0.690  0.065  0.218  0.02
Au  0.384  0.157  0.485  0.03
Cu  0.782  0.310  0.935  0.02
Cu  0.065  0.218  0.690  0.02
Cu  0.935  0.782  0.310  0.02
Au  0.999  0.866  0.654  0.01
Au  0.515  0.616  0.843  0.03
Au  0.866  0.654  0.999  0.01

* space-group type: R-3, No. 148
* formation energy from the elements: 1.5 eV/f.u.



Let's list N(E_F) in order: 2.82, 2.75, 5.90, 3.85, 5.47, 3.95, 0.51, 7.25 states/eV per cell.
Let's list total DFT energy (no corrections) in order: -4.140, -6.304, -4.328, -4.493, -4.374, -4.402, -5.544, -3.965 eV/atom.
Let's list total magnetic moment in order: 4.23, 7.86, 4.37, 3.96, 4.46, 8.97, 4.01, 4.26 μB per formula unit.